(1)
Below is a geometry-optimized Sc4GeSeS2 structure, with properties calculated at the PBE-GGA level.

Cell and atoms, written as CIF:
```
data_Sc4GeSeS2
_chemical_formula_sum 'Sc4 Ge1 Se1 S2'
_cell_length_a 3.7793
_cell_length_b 6.5662
_cell_length_c 6.6021
_cell_angle_alpha 70.64
_cell_angle_beta 90.00
_cell_angle_gamma 90.00
_space_group_name_H-M_alt 'P 1'
_space_group_IT_number 1
_space_group_name_Hall 'P 1'
loop_
_atom_site_label
_atom_site_fract_x
_atom_site_fract_y
_atom_site_fract_z
_atom_site_occupancy
Sc1 0.0000 0.7548 0.7547 1
Sc2 0.0000 0.2452 0.2453 1
Sc3 0.5000 0.7624 0.2344 1
Sc4 0.5000 0.2376 0.7656 1
Ge1 0.5000 0.5000 0.0000 1
Se1 0.0000 0.5000 0.5000 1
S1 0.0000 0.0000 0.0000 1
S2 0.5000 0.0000 0.5000 1
```

Output
Total energy (eV/cell): -54.23
Formation energy without anion corrections (eV/f.u.): -12.55
Volume (Å³/cell): 155
Total magnetization (μB per formula unit): 0.0

***

(2)
Below is a geometry-optimized Dy2ScOs structure, with properties calculated at the PBE-GGA level.

Cell and atoms, written as CIF:
```
data_Dy2ScOs
_chemical_formula_sum 'Dy2 Sc1 Os1'
_cell_length_a 3.3243
_cell_length_b 3.3243
_cell_length_c 10.7226
_cell_angle_alpha 81.08
_cell_angle_beta 81.08
_cell_angle_gamma 60.00
_space_group_name_H-M_alt 'P 1'
_space_group_IT_number 1
_space_group_name_Hall 'P 1'
loop_
_atom_site_label
_atom_site_fract_x
_atom_site_fract_y
_atom_site_fract_z
_atom_site_occupancy
Sc1 0.0000 0.0000 0.0000 1
Os1 0.5000 0.5000 0.5000 1
Dy1 0.1009 0.1009 0.6972 1
Dy2 0.8991 0.8991 0.3028 1
```

Output
Energy of formation (meV/atom): 297
Total energy (eV/cell): -25.58
Polymorph energy (0 for the lowest one) (meV/atom): 575.8
Volume (Å³/cell): 101
Total magnetization (μB per formula unit): 0.0

***

Among the records above, which one has the highest total energy?
Dy2ScOs

***

Which value of total magnetization does entry 2 give?
0.0 μB per formula unit